## K3Fe5F12 (PBE with a Hubbard U)

Data for an optimized crystal structure of K3Fe5F12.

Raw total energy ... -5.068 eV per atom

CIF file:
```
data_K3Fe5F12
_chemical_formula_sum 'K24 Fe40 F96'
_space_group_name_H-M_alt 'I a -3 d'
_space_group_IT_number 230
_space_group_name_Hall '-I 4bd 2c 3'
_cell_length_a 13.7896
_cell_length_b 13.7896
_cell_length_c 13.7896
_cell_angle_alpha 90.00
_cell_angle_beta 90.00
_cell_angle_gamma 90.00
loop_
_atom_site_label
_atom_site_type_symbol
_atom_site_fract_x
_atom_site_fract_y
_atom_site_fract_z
K1 K 0.0000 0.2500 0.1250
Fe1 Fe 0.0000 0.0000 0.0000
Fe2 Fe 0.0000 0.2500 0.3750
F1 F 0.0372 0.0475 0.6425
```